Record 1
Here is a relaxed structure of LiAl2W from Alexandria. Energies are from GGA-PBE.

The structure in CIF format:
```
data_LiAl2W
_symmetry_space_group_name_H-M 'C m m m'
_symmetry_Int_Tables_number 65
_symmetry_space_group_name_Hall '-C 2 2'
_cell_length_a 3.4137
_cell_length_b 4.2471
_cell_length_c 8.8341
_cell_angle_alpha 90.00
_cell_angle_beta 90.00
_cell_angle_gamma 90.00
loop_
_atom_site_label
_atom_site_type_symbol
_atom_site_fract_x
_atom_site_fract_y
_atom_site_fract_z
_atom_site_occupancy
Li1 Li 0.0000 0.0000 0.0000 1
Al1 Al 0.0000 0.5000 0.2576 1
W1 W 0.0000 0.0000 0.5000 1
```

Computed properties:
Offset from the most stable computed form ... 0.99 kcal/mol of atoms
M_tot ... 0.00 μB/f.u.
Calculated density ... 6.35 g/cm3
Final energy ... -5.63 eV/atom
Energy of formation from the pure elements ... -42 meV per atom

---

Record 2
Here is a relaxed structure of PaMoAu from Alexandria. Energies are from GGA-PBE.

The structure in CIF format:
```
data_PaMoAu
_symmetry_space_group_name_H-M 'C 1 2/m 1'
_symmetry_Int_Tables_number 12
_symmetry_space_group_name_Hall '-C 2y'
_cell_length_a 9.7103
_cell_length_b 4.6525
_cell_length_c 5.6106
_cell_angle_alpha 90.00
_cell_angle_beta 101.65
_cell_angle_gamma 90.00
loop_
_atom_site_label
_atom_site_type_symbol
_atom_site_fract_x
_atom_site_fract_y
_atom_site_fract_z
_atom_site_occupancy
Pa1 Pa 0.0990 0.0000 0.2921 1
Mo1 Mo 0.0307 0.5000 0.7550 1
Au1 Au 0.2336 0.0000 0.8259 1
```

Computed properties:
M_tot ... 0.00 μB/f.u.
Calculated density ... 14.02 g/cm3
Final energy ... -7.81 eV/atom
Energy of formation from the pure elements ... 60 meV per atom

---

Repeat the second record exactly.
Here is a relaxed structure of PaMoAu from Alexandria. Energies are from GGA-PBE.

The structure in CIF format:
```
data_PaMoAu
_symmetry_space_group_name_H-M 'C 1 2/m 1'
_symmetry_Int_Tables_number 12
_symmetry_space_group_name_Hall '-C 2y'
_cell_length_a 9.7103
_cell_length_b 4.6525
_cell_length_c 5.6106
_cell_angle_alpha 90.00
_cell_angle_beta 101.65
_cell_angle_gamma 90.00
loop_
_atom_site_label
_atom_site_type_symbol
_atom_site_fract_x
_atom_site_fract_y
_atom_site_fract_z
_atom_site_occupancy
Pa1 Pa 0.0990 0.0000 0.2921 1
Mo1 Mo 0.0307 0.5000 0.7550 1
Au1 Au 0.2336 0.0000 0.8259 1
```

Computed properties:
M_tot ... 0.00 μB/f.u.
Calculated density ... 14.02 g/cm3
Final energy ... -7.81 eV/atom
Energy of formation from the pure elements ... 60 meV per atom

---

> The lowest calculated density belongs to which entry?

LiAl2W

---

Please write out number 2 again, unchanged.
Here is a relaxed structure of PaMoAu from Alexandria. Energies are from GGA-PBE.

The structure in CIF format:
```
data_PaMoAu
_symmetry_space_group_name_H-M 'C 1 2/m 1'
_symmetry_Int_Tables_number 12
_symmetry_space_group_name_Hall '-C 2y'
_cell_length_a 9.7103
_cell_length_b 4.6525
_cell_length_c 5.6106
_cell_angle_alpha 90.00
_cell_angle_beta 101.65
_cell_angle_gamma 90.00
loop_
_atom_site_label
_atom_site_type_symbol
_atom_site_fract_x
_atom_site_fract_y
_atom_site_fract_z
_atom_site_occupancy
Pa1 Pa 0.0990 0.0000 0.2921 1
Mo1 Mo 0.0307 0.5000 0.7550 1
Au1 Au 0.2336 0.0000 0.8259 1
```

Computed properties:
M_tot ... 0.00 μB/f.u.
Calculated density ... 14.02 g/cm3
Final energy ... -7.81 eV/atom
Energy of formation from the pure elements ... 60 meV per atom